Run w
Density functional theory data (PBE) for a geometry-optimized CsSr2Au structure.

spin magnetization: 0.000 μB per formula unit
D(E_F): 0.8321 states/eV per atom
calculated volume: 56.762 Å³/atom

a = 4.6126 Å, b = 4.6126 Å, c = 36.9668 Å
α = 90.00°, β = 90.00°, γ = 120.00°
Space group R-3m (No. 166, hexagonal axes)
Inequivalent atoms, fractional coordinates:
Cs: 0.0000 0.0000 0.0000
Sr: 0.0000 0.0000 0.1215
Au: 0.0000 0.0000 0.5000

***

Run x
Density functional theory data (PBE) for a geometry-optimized CsSr2Au structure.

spin magnetization: 0.000 μB per formula unit
D(E_F): 1.1023 states/eV per atom
calculated volume: 37.941 Å³/atom

a = 8.467 Å, b = 8.467 Å, c = 8.467 Å
α = 90.00°, β = 90.00°, γ = 90.00°
Space group Fm-3m (No. 225)
Inequivalent atoms, fractional coordinates:
Cs: 0.000 0.000 0.000
Sr: 0.250 0.250 0.250
Au: 0.000 0.000 0.500

***

Run y
Density functional theory data (PBE) for a geometry-optimized CsSr2Au structure.

spin magnetization: 0.000 μB per formula unit
D(E_F): 0.6957 states/eV per atom
calculated volume: 53.307 Å³/atom

a = 10.528 Å, b = 10.528 Å, c = 7.695 Å
α = 90.00°, β = 90.00°, γ = 90.00°
Space group I-42d (No. 122)
Inequivalent atoms, fractional coordinates:
Cs: 0.000 0.000 0.000
Sr: 0.134 0.750 0.625
Au: 0.000 0.000 0.500

***

Energy above the most stable structure, in meV per atom: run w 0; run x 337; run y 155

***

Run w
Density functional theory data (PBE) for a geometry-optimized Cs2SrAu structure.

spin magnetization: 0.001 μB per formula unit
D(E_F): 0.7692 states/eV per atom
calculated volume: 64.359 Å³/atom

a = 4.6759 Å, b = 4.6759 Å, c = 40.7886 Å
α = 90.00°, β = 90.00°, γ = 120.00°
Space group R-3m (No. 166, hexagonal axes)
Inequivalent atoms, fractional coordinates:
Cs: 0.0000 0.0000 0.1107
Sr: 0.0000 0.0000 0.0000
Au: 0.0000 0.0000 0.5000

***

Run x
Density functional theory data (PBE) for a geometry-optimized Cs2SrAu structure.

spin magnetization: 0.000 μB per formula unit
D(E_F): 1.3494 states/eV per atom
calculated volume: 66.750 Å³/atom

a = 12.985 Å, b = 12.985 Å, c = 6.334 Å
α = 90.00°, β = 90.00°, γ = 90.00°
Space group I-42d (No. 122)
Inequivalent atoms, fractional coordinates:
Cs: 0.116 0.250 0.125
Sr: 0.000 0.000 0.500
Au: 0.000 0.000 0.000

***

Energy above the most stable structure, in meV per atom: run w 74; run x 0

***

Run w
Density functional theory data (PBE) for a geometry-optimized CsTa3Au structure.

spin magnetization: 0.000 μB per formula unit
D(E_F): 0.9680 states/eV per atom
calculated volume: 24.776 Å³/atom

a = 4.985 Å, b = 4.985 Å, c = 4.985 Å
α = 90.00°, β = 90.00°, γ = 90.00°
Space group Pm-3m (No. 221)
Inequivalent atoms, fractional coordinates:
Cs: 0.000 0.000 0.000
Ta: 0.000 0.000 0.500
Au: 0.500 0.500 0.500

***

Run x
Density functional theory data (PBE) for a geometry-optimized CsTa3Au structure.

spin magnetization: 1.206 μB per formula unit
D(E_F): 2.1948 states/eV per atom
calculated volume: 27.540 Å³/atom

a = 5.164 Å, b = 5.164 Å, c = 5.164 Å
α = 90.00°, β = 90.00°, γ = 90.00°
Space group Pm-3m (No. 221)
Inequivalent atoms, fractional coordinates:
Cs: 0.000 0.000 0.000
Ta: 0.000 0.500 0.500
Au: 0.500 0.500 0.500

***

Energy above the most stable structure, in meV per atom: run w 1072; run x 0

***

Run w
Density functional theory data (PBE) for a geometry-optimized CsTc2Au2 structure.

spin magnetization: 0.000 μB per formula unit
D(E_F): 1.5484 states/eV per atom
calculated volume: 24.479 Å³/atom

a = 3.561 Å, b = 3.561 Å, c = 19.305 Å
α = 90.00°, β = 90.00°, γ = 90.00°
Space group I4/mmm (No. 139)
Inequivalent atoms, fractional coordinates:
Cs: 0.000 0.000 0.000
Tc: 0.000 0.500 0.250
Au: 0.000 0.000 0.364

***

Run x
Density functional theory data (PBE) for a geometry-optimized CsTc2Au2 structure.

spin magnetization: 0.000 μB per formula unit
D(E_F): 0.8677 states/eV per atom
calculated volume: 22.433 Å³/atom

a = 8.804 Å, b = 8.804 Å, c = 2.894 Å
α = 90.00°, β = 90.00°, γ = 90.00°
Space group P4/mbm (No. 127)
Inequivalent atoms, fractional coordinates:
Cs: 0.000 0.000 0.000
Tc: 0.088 0.412 0.500
Au: 0.195 0.695 0.000

***

Energy above the most stable structure, in meV per atom: run w 0; run x 127

***

Run w
Density functional theory data (PBE) for a geometry-optimized CsTe2Au2 structure.

spin magnetization: 0.000 μB per formula unit
D(E_F): 0.3821 states/eV per atom
calculated volume: 30.584 Å³/atom

a = 9.617 Å, b = 9.617 Å, c = 3.307 Å
α = 90.00°, β = 90.00°, γ = 90.00°
Space group P4/mbm (No. 127)
Inequivalent atoms, fractional coordinates:
Cs: 0.000 0.000 0.000
Te: 0.231 0.269 0.500
Au: 0.100 0.600 0.000

***

Run x
Density functional theory data (PBE) for a geometry-optimized CsTe2Au2 structure.

spin magnetization: 0.000 μB per formula unit
D(E_F): 0.3025 states/eV per atom
calculated volume: 28.689 Å³/atom

a = 9.145 Å, b = 9.145 Å, c = 3.430 Å
α = 90.00°, β = 90.00°, γ = 90.00°
Space group P4/mbm (No. 127)
Inequivalent atoms, fractional coordinates:
Cs: 0.000 0.000 0.000
Te: 0.144 0.356 0.000
Au: 0.165 0.665 0.500

***

Energy above the most stable structure, in meV per atom: run w 0; run x 112

***

Run w
Density functional theory data (PBE) for a geometry-optimized CsTe2Au2 structure.

spin magnetization: 0.000 μB per formula unit
D(E_F): 0.3527 states/eV per atom
calculated volume: 39.753 Å³/atom

a = 5.585 Å, b = 5.585 Å, c = 12.746 Å
α = 90.00°, β = 90.00°, γ = 90.00°
Space group I4/mmm (No. 139)
Inequivalent atoms, fractional coordinates:
Cs: 0.000 0.000 0.000
Te: 0.000 0.500 0.250
Au: 0.000 0.000 0.282

***

Run x
Density functional theory data (PBE) for a geometry-optimized CsTe2Au2 structure.

spin magnetization: 0.000 μB per formula unit
D(E_F): 0.6095 states/eV per atom
calculated volume: 32.297 Å³/atom

a = 4.721 Å, b = 4.721 Å, c = 14.490 Å
α = 90.00°, β = 90.00°, γ = 90.00°
Space group I4/mmm (No. 139)
Inequivalent atoms, fractional coordinates:
Cs: 0.000 0.000 0.000
Te: 0.000 0.000 0.359
Au: 0.000 0.500 0.250

***

Energy above the most stable structure, in meV per atom: run w 0; run x 38